PaSeCl2 | PBE | optimized geometry

Summary:
For the calculated total energy, the calculation gives -46.47 eV for the cell shown.

CIF file:
```
data_PaSeCl2
_space_group_name_H-M_alt 'P 1'
_space_group_IT_number 1
_cell_length_a 7.019
_cell_length_b 4.120
_cell_length_c 10.101
_cell_angle_alpha 90.00
_cell_angle_beta 92.39
_cell_angle_gamma 90.00
loop_
_space_group_symop_operation_xyz
'x,y,z'
loop_
_atom_site_label
_atom_site_fract_x
_atom_site_fract_y
_atom_site_fract_z
Pa1 0.091 0.250 0.175
Pa2 0.909 0.750 0.825
Se1 0.230 0.750 0.011
Se2 0.770 0.250 0.989
Cl1 0.074 0.250 0.689
Cl2 0.387 0.250 0.326
Cl3 0.613 0.750 0.674
Cl4 0.926 0.750 0.311
```

***

PaSeCl3 | PBE | optimized geometry

Summary:
For the calculated total energy, the calculation gives -105.74 eV for the cell shown.

CIF file:
```
data_PaSeCl3
_space_group_name_H-M_alt 'P 1'
_space_group_IT_number 1
_cell_length_a 7.172
_cell_length_b 7.644
_cell_length_c 13.648
_cell_angle_alpha 90.00
_cell_angle_beta 98.15
_cell_angle_gamma 90.00
loop_
_space_group_symop_operation_xyz
'x,y,z'
loop_
_atom_site_label
_atom_site_fract_x
_atom_site_fract_y
_atom_site_fract_z
Pa1 0.087 0.130 0.137
Pa2 0.087 0.870 0.637
Pa3 0.913 0.130 0.363
Pa4 0.913 0.870 0.863
Se1 0.151 0.397 0.297
Se2 0.151 0.603 0.797
Se3 0.849 0.397 0.203
Se4 0.849 0.603 0.703
Cl1 0.144 0.179 0.540
Cl2 0.144 0.821 0.040
Cl3 0.225 0.050 0.803
Cl4 0.225 0.950 0.303
Cl5 0.362 0.271 0.069
Cl6 0.362 0.729 0.569
Cl7 0.638 0.271 0.431
Cl8 0.638 0.729 0.931
Cl9 0.775 0.050 0.697
Cl10 0.775 0.950 0.197
Cl11 0.856 0.179 0.960
Cl12 0.856 0.821 0.460
```

***

Sm2PaCl | PBE | optimized geometry

Summary:
For the calculated total energy, the calculation gives -22.11 eV for the cell shown.

CIF file:
```
data_Sm2PaCl
_space_group_name_H-M_alt 'P 1'
_space_group_IT_number 1
_cell_length_a 11.329
_cell_length_b 11.329
_cell_length_c 11.329
_cell_angle_alpha 16.83
_cell_angle_beta 16.83
_cell_angle_gamma 16.83
loop_
_space_group_symop_operation_xyz
'x,y,z'
loop_
_atom_site_label
_atom_site_fract_x
_atom_site_fract_y
_atom_site_fract_z
Sm1 0.098 0.098 0.098
Sm2 0.902 0.902 0.902
Pa1 0.000 0.000 0.000
Cl1 0.500 0.500 0.500
```

***

SmPaCl2 | PBE | optimized geometry

Summary:
For the calculated total energy, the calculation gives -21.92 eV for the cell shown.

CIF file:
```
data_SmPaCl2
_space_group_name_H-M_alt 'P 1'
_space_group_IT_number 1
_cell_length_a 10.033
_cell_length_b 10.033
_cell_length_c 10.033
_cell_angle_alpha 19.90
_cell_angle_beta 19.90
_cell_angle_gamma 19.90
loop_
_space_group_symop_operation_xyz
'x,y,z'
loop_
_atom_site_label
_atom_site_fract_x
_atom_site_fract_y
_atom_site_fract_z
Sm1 0.000 0.000 0.000
Pa1 0.500 0.500 0.500
Cl1 0.097 0.097 0.097
Cl2 0.903 0.903 0.903
```

***

Sr2PaCl8 | PBE | optimized geometry

Summary:
For the calculated total energy, the calculation gives -51.04 eV for the cell shown.

CIF file:
```
data_Sr2PaCl8
_space_group_name_H-M_alt 'P 1'
_space_group_IT_number 1
_cell_length_a 10.386
_cell_length_b 10.386
_cell_length_c 6.626
_cell_angle_alpha 101.08
_cell_angle_beta 101.08
_cell_angle_gamma 25.80
loop_
_space_group_symop_operation_xyz
'x,y,z'
loop_
_atom_site_label
_atom_site_fract_x
_atom_site_fract_y
_atom_site_fract_z
Sr1 0.169 0.169 0.143
Sr2 0.831 0.831 0.857
Pa1 0.500 0.500 0.500
Cl1 0.019 0.019 0.279
Cl2 0.236 0.236 0.788
Cl3 0.372 0.372 0.582
Cl4 0.410 0.410 0.121
Cl5 0.590 0.590 0.879
Cl6 0.628 0.628 0.418
Cl7 0.764 0.764 0.212
Cl8 0.981 0.981 0.721
```

***

SrPaCl6 | PBE | optimized geometry

Summary:
For the calculated total energy, the calculation gives -39.05 eV for the cell shown.

CIF file:
```
data_SrPaCl6
_space_group_name_H-M_alt 'P 1'
_space_group_IT_number 1
_cell_length_a 7.069
_cell_length_b 7.069
_cell_length_c 6.998
_cell_angle_alpha 97.38
_cell_angle_beta 97.38
_cell_angle_gamma 120.06
loop_
_space_group_symop_operation_xyz
'x,y,z'
loop_
_atom_site_label
_atom_site_fract_x
_atom_site_fract_y
_atom_site_fract_z
Sr1 0.000 0.000 0.000
Pa1 0.500 0.500 0.500
Cl1 0.130 0.424 0.264
Cl2 0.253 0.253 0.729
Cl3 0.424 0.130 0.264
Cl4 0.576 0.870 0.736
Cl5 0.747 0.747 0.271
Cl6 0.870 0.576 0.736
```

***

Sr2PaCl8 | PBE | optimized geometry

Summary:
For the calculated total energy, the calculation gives -51.55 eV for the cell shown.

CIF file:
```
data_Sr2PaCl8
_space_group_name_H-M_alt 'P 1'
_space_group_IT_number 1
_cell_length_a 7.913
_cell_length_b 7.913
_cell_length_c 6.015
_cell_angle_alpha 104.80
_cell_angle_beta 104.80
_cell_angle_gamma 75.13
loop_
_space_group_symop_operation_xyz
'x,y,z'
loop_
_atom_site_label
_atom_site_fract_x
_atom_site_fract_y
_atom_site_fract_z
Sr1 0.151 0.151 0.364
Sr2 0.849 0.849 0.636
Pa1 0.500 0.500 0.000
Cl1 0.090 0.090 0.806
Cl2 0.168 0.551 0.740
Cl3 0.369 0.369 0.257
Cl4 0.449 0.832 0.260
Cl5 0.551 0.168 0.740
Cl6 0.631 0.631 0.743
Cl7 0.832 0.449 0.260
Cl8 0.910 0.910 0.194
```

***

SrPaCl2 | PBE | optimized geometry

Summary:
For the calculated total energy, the calculation gives -19.00 eV for the cell shown.

CIF file:
```
data_SrPaCl2
_space_group_name_H-M_alt 'P 1'
_space_group_IT_number 1
_cell_length_a 10.283
_cell_length_b 10.283
_cell_length_c 10.283
_cell_angle_alpha 20.33
_cell_angle_beta 20.33
_cell_angle_gamma 20.33
loop_
_space_group_symop_operation_xyz
'x,y,z'
loop_
_atom_site_label
_atom_site_fract_x
_atom_site_fract_y
_atom_site_fract_z
Sr1 0.000 0.000 0.000
Pa1 0.500 0.500 0.500
Cl1 0.101 0.101 0.101
Cl2 0.899 0.899 0.899
```

***

SrPaCl6 | PBE | optimized geometry

Summary:
For the calculated total energy, the calculation gives -39.12 eV for the cell shown.

CIF file:
```
data_SrPaCl6
_space_group_name_H-M_alt 'P 1'
_space_group_IT_number 1
_cell_length_a 7.062
_cell_length_b 7.064
_cell_length_c 7.611
_cell_angle_alpha 62.42
_cell_angle_beta 62.41
_cell_angle_gamma 60.06
loop_
_space_group_symop_operation_xyz
'x,y,z'
loop_
_atom_site_label
_atom_site_fract_x
_atom_site_fract_y
_atom_site_fract_z
Sr1 0.000 0.000 0.000
Pa1 0.500 0.500 0.500
Cl1 0.118 0.411 0.739
Cl2 0.268 0.882 0.261
Cl3 0.411 0.732 0.739
Cl4 0.589 0.268 0.261
Cl5 0.732 0.118 0.739
Cl6 0.882 0.589 0.261
```

***

SrPaTl2Cl8 | PBE | optimized geometry

Summary:
For the calculated total energy, the calculation gives -51.59 eV for the cell shown.

CIF file:
```
data_SrPaTl2Cl8
_space_group_name_H-M_alt 'P 1'
_space_group_IT_number 1
_cell_length_a 7.120
_cell_length_b 8.860
_cell_length_c 7.151
_cell_angle_alpha 90.00
_cell_angle_beta 92.86
_cell_angle_gamma 90.00
loop_
_space_group_symop_operation_xyz
'x,y,z'
loop_
_atom_site_label
_atom_site_fract_x
_atom_site_fract_y
_atom_site_fract_z
Sr1 0.000 0.000 0.000
Pa1 0.000 0.500 0.000
Tl1 0.500 0.243 0.500
Tl2 0.500 0.757 0.500
Cl1 0.132 0.273 0.792
Cl2 0.132 0.727 0.792
Cl3 0.314 0.500 0.205
Cl4 0.319 0.000 0.256
Cl5 0.681 0.000 0.744
Cl6 0.686 0.500 0.795
Cl7 0.868 0.273 0.208
Cl8 0.868 0.727 0.208
```

***

TbPaCl6 | PBE | optimized geometry

Summary:
For the calculated total energy, the calculation gives -40.62 eV for the cell shown.

CIF file:
```
data_TbPaCl6
_space_group_name_H-M_alt 'P 1'
_space_group_IT_number 1
_cell_length_a 7.450
_cell_length_b 7.450
_cell_length_c 7.450
_cell_angle_alpha 55.32
_cell_angle_beta 55.32
_cell_angle_gamma 55.32
loop_
_space_group_symop_operation_xyz
'x,y,z'
loop_
_atom_site_label
_atom_site_fract_x
_atom_site_fract_y
_atom_site_fract_z
Tb1 0.000 0.000 0.000
Pa1 0.500 0.500 0.500
Cl1 0.103 0.387 0.756
Cl2 0.244 0.897 0.613
Cl3 0.387 0.756 0.103
Cl4 0.613 0.244 0.897
Cl5 0.756 0.103 0.387
Cl6 0.897 0.613 0.244
```

***

TbPaCl2 | PBE | optimized geometry

Summary:
For the calculated total energy, the calculation gives -21.79 eV for the cell shown.

CIF file:
```
data_TbPaCl2
_space_group_name_H-M_alt 'P 1'
_space_group_IT_number 1
_cell_length_a 9.910
_cell_length_b 9.910
_cell_length_c 9.910
_cell_angle_alpha 20.21
_cell_angle_beta 20.21
_cell_angle_gamma 20.21
loop_
_space_group_symop_operation_xyz
'x,y,z'
loop_
_atom_site_label
_atom_site_fract_x
_atom_site_fract_y
_atom_site_fract_z
Tb1 0.000 0.000 0.000
Pa1 0.500 0.500 0.500
Cl1 0.096 0.096 0.096
Cl2 0.904 0.904 0.904
```